(1)
Below is a relaxed Sm4DyTm2 crystal, with properties calculated at the GGA-PBE level.

a b c (Å): 12.437 12.437 6.742
angles (deg): 97.04 97.04 150.13
Positions (direct):
Sm 0.711 0.173 0.861
Sm 0.173 0.711 0.361
Sm 0.185 0.794 0.894
Sm 0.794 0.185 0.394
Sm 0.041 0.150 0.606
Sm 0.563 0.600 0.140
Sm 0.600 0.563 0.640
Sm 0.150 0.041 0.106
Dy 0.425 0.675 0.500
Dy 0.675 0.425 0.000
Tm 0.619 0.301 0.449
Tm 0.920 0.102 0.051
Tm 0.102 0.920 0.551
Tm 0.301 0.619 0.949

Offset from the most stable computed form, meV/atom: 0.0
Calculated volume, Å³/f.u.: 228.5
Calculated formation energy, meV per atom: 55
DOS(E_F), states/eV/atom: 1.395
Density, g/cm³: 8.0
Spin magnetization, μB per cell: 0.0



(2)
Below is a relaxed Sm2DyTm3 crystal, with properties calculated at the GGA-PBE level.

a b c (Å): 3.483 9.002 12.844
angles (deg): 78.14 82.21 78.85
Positions (direct):
Sm 0.820 0.479 0.882
Sm 0.180 0.521 0.118
Sm 0.656 0.156 0.532
Sm 0.344 0.844 0.468
Dy 0.438 0.482 0.643
Dy 0.562 0.518 0.357
Tm 0.039 0.130 0.791
Tm 0.961 0.870 0.209
Tm 0.598 0.829 0.974
Tm 0.402 0.171 0.026
Tm 0.738 0.817 0.708
Tm 0.262 0.183 0.292

Offset from the most stable computed form, meV/atom: 0.0
Calculated volume, Å³/f.u.: 192.4
Calculated formation energy, meV per atom: 121
DOS(E_F), states/eV/atom: 1.573
Density, g/cm³: 8.4
Spin magnetization, μB per cell: 0.0



(3)
Below is a relaxed Sm4DyTm crystal, with properties calculated at the GGA-PBE level.

a b c (Å): 3.588 9.494 11.919
angles (deg): 148.72 90.20 100.79
Positions (direct):
Sm 0.834 0.668 0.500
Sm 0.166 0.332 0.500
Sm 0.332 0.664 0.998
Sm 0.668 0.336 0.002
Dy 0.000 0.000 0.000
Tm 0.500 0.000 0.500

Offset from the most stable computed form, meV/atom: 0.0
Calculated volume, Å³/f.u.: 196.1
Calculated formation energy, meV per atom: 17
DOS(E_F), states/eV/atom: 1.413
Density, g/cm³: 7.9
Spin magnetization, μB per cell: 0.0



(4)
Below is a relaxed Sm5Dy2Tm crystal, with properties calculated at the GGA-PBE level.

a b c (Å): 5.065 7.182 14.371
angles (deg): 90.00 90.00 90.00
Positions (direct):
Sm 0.000 0.000 0.000
Sm 0.000 0.500 0.500
Sm 0.000 0.501 0.751
Sm 0.000 0.499 0.249
Sm 0.000 0.999 0.251
Sm 0.000 0.001 0.749
Sm 0.500 0.251 0.876
Sm 0.500 0.749 0.124
Sm 0.500 0.249 0.376
Sm 0.500 0.751 0.624
Dy 0.500 0.250 0.624
Dy 0.500 0.750 0.376
Dy 0.500 0.250 0.124
Dy 0.500 0.750 0.876
Tm 0.000 0.000 0.500
Tm 0.000 0.500 0.000

Calculated volume, Å³/f.u.: 261.4
Calculated formation energy, meV per atom: 17
DOS(E_F), states/eV/atom: 1.350
Density, g/cm³: 7.9
Spin magnetization, μB per cell: 0.0



(5)
Below is a relaxed Sm7Dy4Tm crystal, with properties calculated at the GGA-PBE level.

a b c (Å): 7.236 9.569 8.926
angles (deg): 81.10 90.01 40.93
Positions (direct):
Sm 0.751 0.500 0.001
Sm 0.249 0.500 0.999
Sm 0.970 0.280 0.666
Sm 0.030 0.720 0.334
Sm 0.221 0.779 0.666
Sm 0.500 0.000 0.000
Sm 0.779 0.221 0.334
Dy 0.529 0.722 0.332
Dy 0.471 0.278 0.668
Dy 0.721 0.779 0.666
Dy 0.279 0.221 0.334
Tm 0.000 0.000 0.000

Offset from the most stable computed form, meV/atom: 0.0
Calculated volume, Å³/f.u.: 393.4
Calculated formation energy, meV per atom: 6
DOS(E_F), states/eV/atom: 1.364
Density, g/cm³: 7.9
Spin magnetization, μB per cell: 0.0



(6)
Below is a relaxed Sm9Dy2Tm crystal, with properties calculated at the GGA-PBE level.

a b c (Å): 5.092 5.092 15.275
angles (deg): 90.00 90.00 90.00
Positions (direct):
Sm 0.500 0.500 0.000
Sm 0.500 0.500 0.333
Sm 0.500 0.500 0.667
Sm 0.500 0.000 0.166
Sm 0.500 0.000 0.500
Sm 0.500 0.000 0.834
Sm 0.000 0.500 0.166
Sm 0.000 0.500 0.500
Sm 0.000 0.500 0.834
Dy 0.000 0.000 0.333
Dy 0.000 0.000 0.667
Tm 0.000 0.000 0.000

Calculated volume, Å³/f.u.: 396.0
Calculated formation energy, meV per atom: 18
DOS(E_F), states/eV/atom: 1.578
Density, g/cm³: 7.7
Spin magnetization, μB per cell: 0.0



(7)
Below is a relaxed SmDy3Tm7 crystal, with properties calculated at the GGA-PBE level.

a b c (Å): 5.459 9.828 8.770
angles (deg): 105.05 128.50 89.99
Positions (direct):
Sm 0.500 0.500 0.500
Dy 0.277 0.995 0.777
Dy 0.000 0.500 0.000
Dy 0.723 0.005 0.223
Tm 0.927 0.832 0.927
Tm 0.849 0.710 0.349
Tm 0.679 0.358 0.179
Tm 0.321 0.642 0.821
Tm 0.500 0.000 0.500
Tm 0.151 0.290 0.651
Tm 0.073 0.168 0.073

Offset from the most stable computed form, meV/atom: 0.0
Calculated volume, Å³/f.u.: 347.4
Calculated formation energy, meV per atom: 160
DOS(E_F), states/eV/atom: 1.685
Density, g/cm³: 8.7
Spin magnetization, μB per cell: 0.0



(8)
Below is a relaxed SmDy5Tm5 crystal, with properties calculated at the GGA-PBE level.

a b c (Å): 5.995 5.995 11.604
angles (deg): 90.00 90.00 120.00
Positions (direct):
Sm 0.333 0.667 0.000
Dy 0.667 0.333 0.155
Dy 0.667 0.333 0.845
Dy 0.333 0.667 0.320
Dy 0.333 0.667 0.680
Dy 0.000 0.000 0.000
Tm 0.334 0.167 0.500
Tm 0.000 0.000 0.265
Tm 0.833 0.666 0.500
Tm 0.833 0.167 0.500
Tm 0.000 0.000 0.735

Offset from the most stable computed form, meV/atom: 173.9
Calculated volume, Å³/f.u.: 361.2
Calculated formation energy, meV per atom: 320
DOS(E_F), states/eV/atom: 1.978
Density, g/cm³: 8.3
Spin magnetization, μB per cell: 0.0